Density functional theory data (GGA+U) for crystalline PaBeCr2O6 at its relaxed geometry.

Properties
mass density = 6.50 Mg/m³
space-group type = P1, No. 1
total DFT energy (no corrections) = -81.09 eV/f.u.

abc: 5.099 5.161 5.722
angles: 64.33 63.76 59.86
Element x y z (fractional)
Cr (0.505, 0.517, 0.453)
Pa (0.819, 0.810, 0.564)
Cr (0.016, 0.017, 0.953)
O (0.235, 0.957, 0.222)
O (0.139, 0.374, 0.726)
O (0.382, 0.758, 0.719)
O (0.954, 0.589, 0.229)
Be (0.266, 0.266, 0.201)
O (0.757, 0.141, 0.721)
O (0.589, 0.232, 0.228)